! HoEr4Ga15 PBE relaxed; values from VASP
&SYSTEM
  ibrav = 0, nat = 20, ntyp = 3
/
ATOMIC_SPECIES
Ho 164.93 Ho.upf
Er 167.26 Er.upf
Ga 69.72 Ga.upf
CELL_PARAMETERS angstrom
-0.2508 4.2133 0.5587
-4.2502 -0.2465 -0.0488
-0.0796 -2.7913 21.0135
ATOMIC_POSITIONS crystal
Ho 0.0000 0.0000 0.0000
Er 0.0000 0.0000 0.2003
Er 0.0000 0.0000 0.4001
Er 0.0000 0.0000 0.5999
Er 0.0000 0.0000 0.7997
Ga 0.5000 0.5000 0.0000
Ga 0.5000 0.5000 0.2002
Ga 0.5000 0.5000 0.4002
Ga 0.5000 0.5000 0.5998
Ga 0.5000 0.5000 0.7998
Ga 0.5000 0.0000 0.1004
Ga 0.5000 0.0000 0.3002
Ga 0.5000 0.0000 0.5000
Ga 0.5000 0.0000 0.6998
Ga 0.5000 0.0000 0.8996
Ga 0.0000 0.5000 0.1004
Ga 0.0000 0.5000 0.3002
Ga 0.0000 0.5000 0.5000
Ga 0.0000 0.5000 0.6998
Ga 0.0000 0.5000 0.8996
! **E_form**: -528 meV/atom
! **Total DFT energy (no corrections)**: -3.940 eV/atom
! **Fermi-level density of states**: 7.75 states/eV per cell
! **Calculated volume**: 19.21 A^3/atom



! Ho2ErGa6 PBE relaxed; values from VASP
&SYSTEM
  ibrav = 0, nat = 9, ntyp = 3
/
ATOMIC_SPECIES
Ho 164.93 Ho.upf
Er 167.26 Er.upf
Ga 69.72 Ga.upf
CELL_PARAMETERS angstrom
4.2846 0.0000 0.0000
0.0000 6.9181 0.0000
-2.1423 -3.4590 6.6743
ATOMIC_POSITIONS crystal
Ho 0.8750 0.8750 0.7501
Ho 0.1250 0.1250 0.2499
Er 0.0000 0.5000 0.0000
Ga 0.6850 0.8777 0.3701
Ga 0.3150 0.1223 0.6299
Ga 0.3150 0.5077 0.6299
Ga 0.5000 0.1916 0.0000
Ga 0.5000 0.8084 0.0000
Ga 0.6850 0.4923 0.3701
! **E_form**: -454 meV/atom
! **Total DFT energy (no corrections)**: -3.997 eV/atom
! **Fermi-level density of states**: 4.62 states/eV per cell
! **Calculated volume**: 21.98 A^3/atom
! **Energy above the lowest structure with this stoichiometry**: 164 meV per atom



! HoErGa4 PBE relaxed; values from VASP
&SYSTEM
  ibrav = 0, nat = 6, ntyp = 3
/
ATOMIC_SPECIES
Ho 164.93 Ho.upf
Ga 69.72 Ga.upf
Er 167.26 Er.upf
CELL_PARAMETERS angstrom
5.4834 0.0000 0.0000
2.7417 4.7487 0.0000
2.7417 1.5829 4.4771
ATOMIC_POSITIONS crystal
Ho 0.2500 0.2500 0.2500
Ga 0.6250 0.6250 0.1250
Ga 0.6250 0.1250 0.6250
Ga 0.6250 0.6250 0.6250
Ga 0.1250 0.6250 0.6250
Er 0.0000 0.0000 0.0000
! **E_form**: -539 meV/atom
! **Total DFT energy (no corrections)**: -4.081 eV/atom
! **Fermi-level density of states**: 3.73 states/eV per cell
! **Calculated volume**: 19.43 A^3/atom
! **Energy above the lowest structure with this stoichiometry**: 81 meV per atom



! HoErGa2 PBE relaxed; values from VASP
&SYSTEM
  ibrav = 0, nat = 4, ntyp = 3
/
ATOMIC_SPECIES
Ho 164.93 Ho.upf
Er 167.26 Er.upf
Ga 69.72 Ga.upf
CELL_PARAMETERS angstrom
-2.3681 0.7244 3.5561
-3.3619 -0.2698 -2.1838
0.9899 -5.6727 -0.8232
ATOMIC_POSITIONS crystal
Ho 0.4439 0.5000 0.4258
Er 0.7213 0.0000 0.9826
Ga 0.1602 0.5000 0.8603
Ga 0.0056 0.0000 0.5494
! **E_form**: -629 meV/atom
! **Total DFT energy (no corrections)**: -4.428 eV/atom
! **Fermi-level density of states**: 2.90 states/eV per cell
! **Calculated volume**: 23.50 A^3/atom



! Ho4ErGa PBE relaxed; values from VASP
&SYSTEM
  ibrav = 0, nat = 12, ntyp = 3
/
ATOMIC_SPECIES
Ho 164.93 Ho.upf
Er 167.26 Er.upf
Ga 69.72 Ga.upf
CELL_PARAMETERS angstrom
-1.0331 5.5075 -2.6678
3.0814 -6.1669 -5.7698
-7.3293 -1.5243 2.8331
ATOMIC_POSITIONS crystal
Ho 0.0414 0.1634 0.7702
Ho 0.7627 0.7178 0.6353
Ho 0.2288 0.6069 0.7702
Ho 0.3726 0.9175 0.6353
Ho 0.6274 0.0825 0.3647
Ho 0.7712 0.3931 0.2298
Ho 0.2373 0.2822 0.3647
Ho 0.9586 0.8366 0.2298
Er 0.3447 0.5947 0.1894
Er 0.6553 0.4053 0.8106
Ga 0.2495 0.9995 0.9989
Ga 0.7505 0.0005 0.0011
! **E_form**: -102 meV/atom
! **Total DFT energy (no corrections)**: -4.418 eV/atom
! **Fermi-level density of states**: 14.96 states/eV per cell
! **Calculated volume**: 28.76 A^3/atom



! HoEr2Ga PBE relaxed; values from VASP
&SYSTEM
  ibrav = 0, nat = 4, ntyp = 3
/
ATOMIC_SPECIES
Ho 164.93 Ho.upf
Er 167.26 Er.upf
Ga 69.72 Ga.upf
CELL_PARAMETERS angstrom
3.5735 0.0000 0.0000
1.7868 3.0948 0.0000
1.7868 1.0316 10.0950
ATOMIC_POSITIONS crystal
Ho 0.5003 0.5003 0.4992
Er 0.0714 0.0714 0.7857
Er 0.2619 0.2619 0.2142
Ga 0.6663 0.6663 0.0010
! **E_form**: -200 meV/atom
! **Total DFT energy (no corrections)**: -4.383 eV/atom
! **Fermi-level density of states**: 3.62 states/eV per cell
! **Calculated volume**: 27.91 A^3/atom
! **Energy above the lowest structure with this stoichiometry**: 83 meV per atom